# NiIN2F (GGA-PBEsol, optimized geometry)
# Size of the total moment, μB per formula unit: 1.5
# Raw formation energy, eV/atom: 1.585
# Crystal system: tetragonal
# V, A^3/atom: 13.954
data_NiIN2F
_chemical_formula_sum 'Ni1 I1 N2 F1'
_cell_length_a 4.057
_cell_length_b 4.057
_cell_length_c 4.240
_cell_angle_alpha 90.00
_cell_angle_beta 90.00
_cell_angle_gamma 90.00
_symmetry_space_group_name_H-M 'P 4/m m m'
_symmetry_Int_Tables_number 123
_symmetry_space_group_name_Hall '-P 4 2'
loop_
_atom_site_label
_atom_site_type_symbol
_atom_site_fract_x
_atom_site_fract_y
_atom_site_fract_z
Ni1 Ni 0.000 0.000 0.000
I1 I 0.500 0.500 0.500
N1 N 0.000 0.500 0.500
F1 F 0.500 0.500 0.000